No. 1
SbIrRu2 | PBE | optimized geometry

Output
SG = Pmmm (47)
Formation energy without anion corrections = 0.245 eV per atom

The structure in CIF format:
```
data_SbIrRu2
_chemical_formula_sum 'Sb1 Ir1 Ru2'
_symmetry_space_group_name_H-M 'P 1'
_symmetry_Int_Tables_number 1
_symmetry_space_group_name_Hall 'P 1'
_cell_length_a 2.8985
_cell_length_b 3.7968
_cell_length_c 5.7349
_cell_angle_alpha 90.00
_cell_angle_beta 90.00
_cell_angle_gamma 90.00
loop_
_atom_site_label
_atom_site_type_symbol
_atom_site_fract_x
_atom_site_fract_y
_atom_site_fract_z
Ir1 Ir 0.5000 0.5000 0.7500
Ru1 Ru 0.0000 0.0000 0.9837
Ru2 Ru 0.0000 0.0000 0.5163
Sb1 Sb 0.5000 0.5000 0.2500
```

No. 2
SbIrRu2 | PBE | optimized geometry

Output
SG = P4mm (99)
Formation energy without anion corrections = 0.314 eV per atom

The structure in CIF format:
```
data_SbIrRu2
_chemical_formula_sum 'Sb1 Ir1 Ru2'
_symmetry_space_group_name_H-M 'P 1'
_symmetry_Int_Tables_number 1
_symmetry_space_group_name_Hall 'P 1'
_cell_length_a 2.9246
_cell_length_b 2.9246
_cell_length_c 7.4306
_cell_angle_alpha 90.00
_cell_angle_beta 90.00
_cell_angle_gamma 90.00
loop_
_atom_site_label
_atom_site_type_symbol
_atom_site_fract_x
_atom_site_fract_y
_atom_site_fract_z
Ir1 Ir 0.5000 0.5000 0.7576
Ru1 Ru 0.0000 0.0000 0.0089
Ru2 Ru 0.5000 0.5000 0.2351
Sb1 Sb 0.0000 0.0000 0.4984
```

No. 3
SbIr2Ru | PBE | optimized geometry

Output
SG = Cmmm (65)
Formation energy without anion corrections = 0.637 eV per atom

The structure in CIF format:
```
data_SbIr2Ru
_chemical_formula_sum 'Sb1 Ir2 Ru1'
_symmetry_space_group_name_H-M 'P 1'
_symmetry_Int_Tables_number 1
_symmetry_space_group_name_Hall 'P 1'
_cell_length_a 2.8603
_cell_length_b 2.8603
_cell_length_c 9.5289
_cell_angle_alpha 90.00
_cell_angle_beta 90.00
_cell_angle_gamma 120.26
loop_
_atom_site_label
_atom_site_type_symbol
_atom_site_fract_x
_atom_site_fract_y
_atom_site_fract_z
Ir1 Ir 0.0000 0.0000 0.0156
Ir2 Ir 0.0000 0.0000 0.4844
Ru1 Ru 0.5000 0.5000 0.2500
Sb1 Sb 0.5000 0.5000 0.7500
```

No. 4
ScSbIrRu | PBE | optimized geometry

Output
SG = F-43m (216)
Formation energy without anion corrections = -0.493 eV per atom

The structure in CIF format:
```
data_ScSbIrRu
_chemical_formula_sum 'Sc1 Sb1 Ir1 Ru1'
_symmetry_space_group_name_H-M 'P 1'
_symmetry_Int_Tables_number 1
_symmetry_space_group_name_Hall 'P 1'
_cell_length_a 4.5651
_cell_length_b 4.5651
_cell_length_c 4.5651
_cell_angle_alpha 60.00
_cell_angle_beta 60.00
_cell_angle_gamma 60.00
loop_
_atom_site_label
_atom_site_type_symbol
_atom_site_fract_x
_atom_site_fract_y
_atom_site_fract_z
Sc1 Sc 0.5000 0.5000 0.5000
Sb1 Sb 0.0000 0.0000 0.0000
Ir1 Ir 0.2500 0.2500 0.2500
Ru1 Ru 0.7500 0.7500 0.7500
```

No. 5
SbTe2IrRu | PBE | optimized geometry

Output
ΔE to the lowest computed polymorph = 0.000 eV per atom
SG = P4/mmm (123)
Formation energy without anion corrections = 1.077 eV per atom

The structure in CIF format:
```
data_SbTe2IrRu
_chemical_formula_sum 'Sb1 Te2 Ir1 Ru1'
_symmetry_space_group_name_H-M 'P 1'
_symmetry_Int_Tables_number 1
_symmetry_space_group_name_Hall 'P 1'
_cell_length_a 5.0766
_cell_length_b 5.0766
_cell_length_c 4.9520
_cell_angle_alpha 90.00
_cell_angle_beta 90.00
_cell_angle_gamma 90.00
loop_
_atom_site_label
_atom_site_type_symbol
_atom_site_fract_x
_atom_site_fract_y
_atom_site_fract_z
Sb1 Sb 0.0000 0.0000 0.5000
Ir1 Ir 0.5000 0.5000 0.5000
Te1 Te 0.0000 0.5000 0.0000
Te2 Te 0.5000 0.0000 0.0000
Ru1 Ru 0.0000 0.0000 0.0000
```

No. 6
SbTe2IrRu | PBE | optimized geometry

Output
ΔE to the lowest computed polymorph = 0.084 eV per atom
SG = P4/mmm (123)
Formation energy without anion corrections = 1.161 eV per atom

The structure in CIF format:
```
data_SbTe2IrRu
_chemical_formula_sum 'Sb1 Te2 Ir1 Ru1'
_symmetry_space_group_name_H-M 'P 1'
_symmetry_Int_Tables_number 1
_symmetry_space_group_name_Hall 'P 1'
_cell_length_a 5.2072
_cell_length_b 5.2072
_cell_length_c 4.9786
_cell_angle_alpha 90.00
_cell_angle_beta 90.00
_cell_angle_gamma 90.00
loop_
_atom_site_label
_atom_site_type_symbol
_atom_site_fract_x
_atom_site_fract_y
_atom_site_fract_z
Sb1 Sb 0.0000 0.0000 0.5000
Ir1 Ir 0.0000 0.0000 0.0000
Te1 Te 0.0000 0.5000 0.0000
Te2 Te 0.5000 0.0000 0.0000
Ru1 Ru 0.5000 0.5000 0.5000
```

No. 7
Th3SbIrRu | PBE | optimized geometry

Output
SG = P2_1/m (11)
Formation energy without anion corrections = -0.700 eV per atom

The structure in CIF format:
```
data_Th3SbIrRu
_chemical_formula_sum 'Th6 Sb2 Ir2 Ru2'
_symmetry_space_group_name_H-M 'P 1'
_symmetry_Int_Tables_number 1
_symmetry_space_group_name_Hall 'P 1'
_cell_length_a 4.3131
_cell_length_b 8.3549
_cell_length_c 10.0213
_cell_angle_alpha 115.47
_cell_angle_beta 90.00
_cell_angle_gamma 90.00
loop_
_atom_site_label
_atom_site_type_symbol
_atom_site_fract_x
_atom_site_fract_y
_atom_site_fract_z
Th1 Th 0.2500 0.7407 0.4804
Th2 Th 0.7500 0.9328 0.1310
Th3 Th 0.7500 0.4850 0.1479
Th4 Th 0.7500 0.2593 0.5196
Th5 Th 0.2500 0.5150 0.8521
Th6 Th 0.2500 0.0672 0.8690
Sb1 Sb 0.7500 0.7222 0.7300
Sb2 Sb 0.2500 0.2778 0.2700
Ir1 Ir 0.2500 0.7253 0.1636
Ir2 Ir 0.7500 0.2747 0.8364
Ru1 Ru 0.2500 0.0988 0.6135
Ru2 Ru 0.7500 0.9012 0.3865
```

No. 8
Sb2IrRuW | PBE | optimized geometry

Output
SG = P4/mmm (123)
Formation energy without anion corrections = 1.620 eV per atom

The structure in CIF format:
```
data_Sb2IrRuW
_chemical_formula_sum 'Sb2 Ir1 Ru1 W1'
_symmetry_space_group_name_H-M 'P 1'
_symmetry_Int_Tables_number 1
_symmetry_space_group_name_Hall 'P 1'
_cell_length_a 4.9737
_cell_length_b 4.7175
_cell_length_c 4.9737
_cell_angle_alpha 90.00
_cell_angle_beta 90.00
_cell_angle_gamma 90.00
loop_
_atom_site_label
_atom_site_type_symbol
_atom_site_fract_x
_atom_site_fract_y
_atom_site_fract_z
Sb1 Sb 0.0000 0.0000 0.5000
Sb2 Sb 0.5000 0.0000 0.0000
Ir1 Ir 0.0000 0.5000 0.0000
W1 W 0.5000 0.5000 0.5000
Ru1 Ru 0.0000 0.0000 0.0000
```

No. 9
ZnSbIrRu | PBE | optimized geometry

Output
SG = F-43m (216)
Formation energy without anion corrections = -0.088 eV per atom

The structure in CIF format:
```
data_ZnSbIrRu
_chemical_formula_sum 'Zn1 Sb1 Ir1 Ru1'
_symmetry_space_group_name_H-M 'P 1'
_symmetry_Int_Tables_number 1
_symmetry_space_group_name_Hall 'P 1'
_cell_length_a 4.4478
_cell_length_b 4.4478
_cell_length_c 4.4478
_cell_angle_alpha 60.00
_cell_angle_beta 60.00
_cell_angle_gamma 60.00
loop_
_atom_site_label
_atom_site_type_symbol
_atom_site_fract_x
_atom_site_fract_y
_atom_site_fract_z
Sb1 Sb 0.2500 0.2500 0.2500
Zn1 Zn 0.7500 0.7500 0.7500
Ir1 Ir 0.0000 0.0000 0.0000
Ru1 Ru 0.5000 0.5000 0.5000
```

No. 10
Zr2SbIrRu | PBE | optimized geometry

Output
SG = P4/mmm (123)
Formation energy without anion corrections = 0.360 eV per atom

The structure in CIF format:
```
data_Zr2SbIrRu
_chemical_formula_sum 'Zr2 Sb1 Ir1 Ru1'
_symmetry_space_group_name_H-M 'P 1'
_symmetry_Int_Tables_number 1
_symmetry_space_group_name_Hall 'P 1'
_cell_length_a 5.0406
_cell_length_b 5.0406
_cell_length_c 4.7366
_cell_angle_alpha 90.00
_cell_angle_beta 90.00
_cell_angle_gamma 90.00
loop_
_atom_site_label
_atom_site_type_symbol
_atom_site_fract_x
_atom_site_fract_y
_atom_site_fract_z
Sb1 Sb 0.5000 0.5000 0.5000
Ir1 Ir 0.0000 0.0000 0.0000
Zr1 Zr 0.0000 0.5000 0.0000
Zr2 Zr 0.5000 0.0000 0.0000
Ru1 Ru 0.0000 0.0000 0.5000
```

No. 11
ScIrRu4 | PBE | optimized geometry

Output
SG = F-43m (216)
Calculated formation energy = 81 kJ/mol of formula units

The structure in CIF format:
```
data_ScIrRu4
_chemical_formula_sum 'Sc1 Ir1 Ru4'
_symmetry_space_group_name_H-M 'P 1'
_symmetry_Int_Tables_number 1
_symmetry_space_group_name_Hall 'P 1'
_cell_length_a 5.1011
_cell_length_b 5.1011
_cell_length_c 5.1011
_cell_angle_alpha 60.00
_cell_angle_beta 60.00
_cell_angle_gamma 60.00
loop_
_atom_site_label
_atom_site_type_symbol
_atom_site_fract_x
_atom_site_fract_y
_atom_site_fract_z
Sc1 Sc 0.2500 0.2500 0.2500
Ir1 Ir 0.0000 0.0000 0.0000
Ru1 Ru 0.6254 0.6254 0.1237
Ru2 Ru 0.6254 0.1237 0.6254
Ru3 Ru 0.6254 0.6254 0.6254
Ru4 Ru 0.1237 0.6254 0.6254
```

No. 12
Sc2IrRu3 | PBE | optimized geometry

Output
SG = C2/m (12)
Calculated formation energy = -268 kJ/mol of formula units

The structure in CIF format:
```
data_Sc2IrRu3
_chemical_formula_sum 'Sc2 Ir1 Ru3'
_symmetry_space_group_name_H-M 'P 1'
_symmetry_Int_Tables_number 1
_symmetry_space_group_name_Hall 'P 1'
_cell_length_a 5.1421
_cell_length_b 5.1421
_cell_length_c 5.2700
_cell_angle_alpha 89.86
_cell_angle_beta 119.34
_cell_angle_gamma 120.02
loop_
_atom_site_label
_atom_site_type_symbol
_atom_site_fract_x
_atom_site_fract_y
_atom_site_fract_z
Sc1 Sc 0.7539 0.3768 0.1307
Sc2 Sc 0.2461 0.6232 0.8693
Ir1 Ir 0.0000 0.0000 0.0000
Ru1 Ru 0.5000 0.5000 0.5000
Ru2 Ru 0.0000 0.0000 0.5000
Ru3 Ru 0.5000 0.0000 0.5000
```

| no. | total energy (eV per atom) | M_tot (Bohr magnetons per cell) | N(E_F) (states/eV per atom) |
| --- | --- | --- | --- |
| 1 | -7.639 | 0.00 | 1.148 |
| 2 | -7.570 | 0.00 | 1.080 |
| 3 | -7.143 | 1.14 | 1.026 |
| 4 | -7.640 | 1.03 | 0.692 |
| 5 | -4.631 | 0.00 | 0.898 |
| 6 | -4.547 | 0.00 | 1.299 |
| 7 | -8.120 | 0.00 | 0.605 |
| 8 | -6.247 | 2.53 | 1.044 |
| 9 | -5.972 | 0.00 | 0.345 |
| 10 | -7.511 | 0.00 | 1.116 |
| 11 | -8.576 | 1.19 | 1.641 |
| 12 | -8.689 | 0.00 | 0.962 |